# 1
A relaxed Pr3Mg3GaAu2 crystal, computed with PBE.

Lattice parameters (Å, degrees): 7.647 7.647 4.421 90.00 90.00 120.00
Element x y z (fractional)
Mg 0.759 0.759 0.500
Mg 0.241 0.000 0.500
Mg 0.000 0.241 0.500
Ga 0.000 0.000 0.000
Pr 0.000 0.585 0.000
Pr 0.415 0.415 0.000
Pr 0.585 0.000 0.000
Au 0.333 0.667 0.500
Au 0.667 0.333 0.500

- total DFT energy (no corrections) (eV/atom) = -3.73
- space-group type = P-62m (189)


# 2
A relaxed PrY2Mg3Ga2Au crystal, computed with PBE.

Lattice parameters (Å, degrees): 4.396 7.459 7.459 120.48 90.00 90.00
Element x y z (fractional)
Ga 0.500 0.668 0.329
Ga 0.500 0.329 0.668
Y 0.000 0.999 0.415
Y 0.000 0.415 0.999
Au 0.000 0.007 0.007
Mg 0.500 0.756 0.002
Mg 0.500 0.243 0.243
Mg 0.500 0.002 0.756
Pr 0.000 0.582 0.582

- total DFT energy (no corrections) (eV/atom) = -4.11
- space-group type = Amm2 (38)